{"formula": "Pm3TmHg2", "functional": "PBE", "state": "relaxed", "cell": [[5.2551, 0.0000, 0.0000], [0.0000, 7.0148, 0.0000], [0.0000, 0.0000, 9.4919]], "species": ["Hg", "Hg", "Hg", "Hg", "Tm", "Tm", "Pm", "Pm", "Pm", "Pm", "Pm", "Pm"], "fractional_positions": [[0.0000, 0.2720, 0.6502], [0.5000, 0.2295, 0.1534], [0.0000, 0.7720, 0.3498], [0.5000, 0.7295, 0.8466], [0.5000, 0.5140, 0.5510], [0.5000, 0.0140, 0.4490], [0.0000, 0.9874, 0.0510], [0.0000, 0.3194, 0.3310], [0.0000, 0.4874, 0.9490], [0.0000, 0.8194, 0.6690], [0.5000, 0.1777, 0.8223], [0.5000, 0.6777, 0.1777]], "e_above_lowest_polymorph_ev_per_atom": 0.000, "dos_at_fermi_per_ev_cell": 6.57, "spacegroup": "Pmc2_1 (26)"}